i.
VASP calculation (PBE-GGA) on a geometry-optimized B2SbF structure.

Properties
space group = Fm-3m, No. 225
crystal system = cubic
magnetization = 0.00 Bohr magnetons per cell

a = 4.1234 Å, b = 4.1234 Å, c = 4.1234 Å
α = 60.00°, β = 60.00°, γ = 60.00°
Closest atoms and distances in Å follow each position.
Sites, in units of the cell vectors:
F  0.0000  0.0000  0.0000  8 B 2.53
B  0.2500  0.2500  0.2500  4 F 2.53, 4 Sb 2.53
B  0.7500  0.7500  0.7500  4 Sb 2.53, 4 F 2.53
Sb  0.5000  0.5000  0.5000  8 B 2.53

ii.
VASP calculation (PBE-GGA) on a geometry-optimized B2SbF structure.

Properties
space group = I4_1/amd, No. 141
crystal system = tetragonal
magnetization = 0.00 Bohr magnetons per cell

a = 3.3581 Å, b = 3.3581 Å, c = 10.6467 Å
α = 80.93°, β = 80.93°, γ = 90.00°
Closest atoms and distances in Å follow each position.
Sites, in units of the cell vectors:
Sb  0.0000  0.0000  0.0000  4 F 2.37
Sb  0.7500  0.2500  0.5000  4 F 2.37
B  0.8750  0.6250  0.7500  2 B 1.68
B  0.3750  0.6250  0.7500  2 B 1.68
B  0.3750  0.6250  0.2500  2 B 1.68
B  0.3750  0.1250  0.2500  2 B 1.68
F  0.2500  0.7500  0.5000  4 Sb 2.37
F  0.5000  0.5000  0.0000  4 Sb 2.37

Least stable: i

i.
VASP calculation (PBE-GGA) on a geometry-optimized ScB3F structure.

Properties
space group = Pm-3m, No. 221
crystal system = cubic
magnetization = 2.31 Bohr magnetons per cell

a = 4.6926 Å, b = 4.6926 Å, c = 4.6926 Å
α = 90.00°, β = 90.00°, γ = 90.00°
Closest atoms and distances in Å follow each position.
Sites, in units of the cell vectors:
B  0.5000  0.0000  0.0000  2 Sc 2.35
B  0.0000  0.5000  0.0000  2 Sc 2.35
B  0.0000  0.0000  0.5000  2 Sc 2.35
F  0.5000  0.5000  0.5000  12 B 3.32
Sc  0.0000  0.0000  0.0000  6 B 2.35

ii.
VASP calculation (PBE-GGA) on a geometry-optimized ScB3F structure.

Properties
space group = Pm-3m, No. 221
crystal system = cubic
magnetization = 0.00 Bohr magnetons per cell

a = 3.8253 Å, b = 3.8253 Å, c = 3.8253 Å
α = 90.00°, β = 90.00°, γ = 90.00°
Closest atoms and distances in Å follow each position.
Sites, in units of the cell vectors:
B  0.0000  0.5000  0.0000  2 F 1.91
B  0.5000  0.0000  0.0000  2 F 1.91
B  0.0000  0.0000  0.5000  2 F 1.91
Sc  0.5000  0.5000  0.5000  12 B 2.70
F  0.0000  0.0000  0.0000  6 B 1.91

Least stable: i

i.
VASP calculation (PBE-GGA) on a geometry-optimized Sc2BF structure.

Properties
space group = R-3m, No. 166
crystal system = trigonal
magnetization = 0.00 Bohr magnetons per cell

a = 6.7837 Å, b = 6.7837 Å, c = 6.7837 Å
α = 31.42°, β = 31.42°, γ = 31.42°
Closest atoms and distances in Å follow each position.
Sites, in units of the cell vectors:
F  0.0000  0.0000  0.0000  2 Sc 2.06
B  0.5000  0.5000  0.5000  6 Sc 2.42
Sc  0.8933  0.8933  0.8933  1 F 2.06
Sc  0.1067  0.1067  0.1067  1 F 2.06

ii.
VASP calculation (PBE-GGA) on a geometry-optimized Sc2BF structure.

Properties
space group = I-42d, No. 122
crystal system = tetragonal
magnetization = 0.00 Bohr magnetons per cell

a = 4.9088 Å, b = 4.9088 Å, c = 6.6381 Å
α = 68.30°, β = 68.30°, γ = 90.00°
Closest atoms and distances in Å follow each position.
Sites, in units of the cell vectors:
F  0.0000  0.0000  0.0000  4 Sc 2.24
F  0.7500  0.2500  0.5000  4 Sc 2.24
Sc  0.6241  0.1250  0.2500  2 B 2.24, 2 F 2.24
Sc  0.3750  0.3759  0.7500  2 B 2.24, 2 F 2.24
Sc  0.1259  0.6250  0.2500  2 B 2.24, 2 F 2.24
Sc  0.8750  0.8741  0.7500  2 B 2.24, 2 F 2.24
B  0.5000  0.5000  0.0000  4 Sc 2.24
B  0.2500  0.7500  0.5000  4 Sc 2.24

iii.
VASP calculation (PBE-GGA) on a geometry-optimized Sc2BF structure.

Properties
space group = Fm-3m, No. 225
crystal system = cubic
magnetization = 0.00 Bohr magnetons per cell

a = 4.2630 Å, b = 4.2630 Å, c = 4.2630 Å
α = 60.00°, β = 60.00°, γ = 60.00°
Closest atoms and distances in Å follow each position.
Sites, in units of the cell vectors:
Sc  0.2500  0.2500  0.2500  4 F 2.61, 4 B 2.61
Sc  0.7500  0.7500  0.7500  4 F 2.61, 4 B 2.61
F  0.5000  0.5000  0.5000  8 Sc 2.61
B  0.0000  0.0000  0.0000  8 Sc 2.61

Least stable: iii